P.
DFT (GGA-PBE) results for ZrHg3N after structural relaxation.

```
5
Lattice="5.610 0.000 0.000 0.000 5.610 0.000 0.000 0.000 5.610" Properties=species:S:1:pos:R:3 pbc="T T T"
Zr 0.000 0.000 0.000
Hg 0.000 0.000 2.805
Hg 0.000 2.805 0.000
Hg 2.805 0.000 0.000
N 2.805 2.805 2.805
```

Calculated values
The value obtained for the density of states at the Fermi level is 10.265 states/eV/f.u. Its total magnetic moment is 0.00 μB per atom. As for the symmetry: Pm-3m (221).


Q.
DFT (GGA-PBE) results for ZrHg3N after structural relaxation.

```
5
Lattice="4.704 0.000 0.000 0.000 4.704 0.000 0.000 0.000 4.704" Properties=species:S:1:pos:R:3 pbc="T T T"
Zr 0.000 0.000 0.000
Hg 0.000 2.352 2.352
Hg 2.352 0.000 2.352
Hg 2.352 2.352 0.000
N 2.352 2.352 2.352
```

Calculated values
The value obtained for the density of states at the Fermi level is 4.951 states/eV/f.u. Its total magnetic moment is 0.28 μB per atom. As for the symmetry: Pm-3m (221).


Which is most stable? The ranking, best first, is Q, P.